Version i
An optimized crystal structure of Rb2HgS. Source: Alexandria, functional GGA-PBE.

abc: 4.126 4.126 9.058
angles: 90.00 90.00 90.00
Each line ends with the local moment (μB).
Positions (direct):
Hg1 0.500 0.500 0.500  0.00
Rb1 0.000 0.000 0.816  0.00
Rb2 0.000 0.000 0.184  0.00
S1 0.500 0.500 0.000  0.07

M_tot ... 0.1 μB/cell
Space group ... P4/mmm
Calculated density ... 4.3 g/cm³

---

Version ii
An optimized crystal structure of Rb2HgS. Source: Alexandria, functional GGA-PBE.

abc: 5.798 5.798 5.798
angles: 60.00 60.00 60.00
Positions (direct):
Hg1 0.500 0.500 0.500
S1 0.000 0.000 0.000
Rb1 0.250 0.250 0.250
Rb2 0.750 0.750 0.750

M_tot ... 0.0 μB/cell
Space group ... Fm-3m
Calculated density ... 4.9 g/cm³

---

Least stable of them? version i.

---

Version i
An optimized crystal structure of CsSrBi2. Source: Alexandria, functional GGA-PBE.

abc: 4.573 4.573 8.311
angles: 90.00 90.00 90.00
Positions (direct):
Bi1 0.000 0.000 0.819
Bi2 0.000 0.000 0.181
Sr1 0.500 0.500 0.000
Cs1 0.500 0.500 0.500

M_tot ... 0.0 μB/cell
Space group ... P4/mmm
Calculated density ... 6.1 g/cm³

---

Version ii
An optimized crystal structure of CsSrBi2. Source: Alexandria, functional GGA-PBE.

abc: 5.260 5.423 5.423
angles: 90.00 90.00 90.00
Positions (direct):
Sr1 0.500 0.000 0.000
Bi1 0.000 0.000 0.500
Bi2 0.000 0.500 0.000
Cs1 0.500 0.500 0.500

M_tot ... 0.0 μB/cell
Space group ... P4/mmm
Calculated density ... 6.9 g/cm³

---

Least stable of them? version ii.